VASP calculation (GGA+U) on a relaxed Cr2PdF crystal.

a = 6.465 Å, b = 6.465 Å, c = 5.574 Å
α = 54.55°, β = 54.55°, γ = 90.00°
Fractional coordinates of all 8 atoms:
Cr (0.568, 0.125, 0.250)
Cr (0.182, 0.625, 0.250)
Cr (0.375, 0.432, 0.750)
Cr (0.875, 0.818, 0.750)
Pd (0.000, 0.000, 0.000)
Pd (0.750, 0.250, 0.500)
F (0.500, 0.500, 0.000)
F (0.250, 0.750, 0.500)

Values from the calculation:
- Magnetic moment: 17.823 Bohr magnetons per cell
- Energy relative to the lowest polymorph listed for this composition: 0.000 eV per atom
- Crystal system: tetragonal
- Final energy: -23.45 eV per formula unit